{"formula": "Ba2FeSnOs", "functional": "PBE", "state": "relaxed", "magnetic_moment_mub_per_cell": 1.424, "ef_ev_per_atom": 1.06, "volume_a3_per_atom": 27.13, "spacegroup": "P4/mmm, No. 123", "lattice": [[5.302, 0.000, 0.000], [0.000, 4.826, 0.000], [0.000, 0.000, 5.302]], "species": ["Ba", "Ba", "Fe", "Os", "Sn"], "fractional_positions": [[0.000, 0.000, 0.500], [0.500, 0.000, 0.000], [0.000, 0.000, 0.000], [0.500, 0.500, 0.500], [0.000, 0.500, 0.000]]}